No. 1
Entry from Alexandria via LeMat-Bulk: a relaxed CsK2NaH crystal (PBE).

Cell: 5.927 5.927 6.675 Å, 90.00 90.00 90.00°
Positions (direct):
Cs: 0.000 0.000 0.000
K: 0.000 0.500 0.500
K: 0.500 0.000 0.500
Na: 0.500 0.500 0.000
H: 0.000 0.000 0.500

Results
* size of the total moment: 0.00 μB per cell
* raw total energy: -1.55 eV/atom
* D(E_F): 0.577 states/eV per atom



No. 2
Entry from Alexandria via LeMat-Bulk: a relaxed Cs4K3NaH8 crystal (PBE).

Cell: 8.315 8.315 8.421 Å, 119.57 119.57 59.94°
Positions (direct):
Cs: 0.000 0.000 0.000
Cs: 0.000 0.500 0.000
Cs: 0.500 0.000 0.000
Cs: 0.500 0.500 0.000
K: 0.000 0.000 0.500
K: 0.000 0.500 0.500
K: 0.500 0.000 0.500
Na: 0.500 0.500 0.500
H: 0.241 0.241 0.721
H: 0.251 0.732 0.715
H: 0.266 0.266 0.284
H: 0.268 0.749 0.285
H: 0.732 0.251 0.715
H: 0.734 0.734 0.716
H: 0.749 0.268 0.285
H: 0.759 0.759 0.279

Results
* size of the total moment: 0.00 μB per cell
* raw total energy: -2.33 eV/atom
* D(E_F): 0.000 states/eV per atom



No. 3
Entry from Alexandria via LeMat-Bulk: a relaxed CsK2NaH crystal (PBE).

Cell: 5.821 5.821 7.235 Å, 90.00 90.00 90.00°
Positions (direct):
Cs: 0.000 0.000 0.000
K: 0.000 0.500 0.500
K: 0.500 0.000 0.500
Na: 0.500 0.500 0.000
H: 0.500 0.500 0.500

Results
* size of the total moment: 0.75 μB per cell
* raw total energy: -1.43 eV/atom
* D(E_F): 0.558 states/eV per atom



No. 4
Entry from Alexandria via LeMat-Bulk: a relaxed Cs2KNaH4 crystal (PBE).

Cell: 7.014 4.117 7.209 Å, 90.00 108.51 90.00°
Positions (direct):
Cs: 0.000 0.000 0.000
Cs: 0.500 0.500 0.000
K: 0.000 0.500 0.500
Na: 0.500 0.000 0.500
H: 0.256 0.000 0.709
H: 0.270 0.500 0.289
H: 0.730 0.500 0.711
H: 0.744 0.000 0.291

Results
* size of the total moment: 0.00 μB per cell
* raw total energy: -2.32 eV/atom
* D(E_F): 0.000 states/eV per atom



No. 5
Entry from Alexandria via LeMat-Bulk: a relaxed Cs2KNiH6 crystal (PBE).

Cell: 6.386 6.386 6.689 Å, 90.00 90.00 120.00°
Positions (direct):
Cs: 0.333 0.667 0.355
Cs: 0.667 0.333 0.645
K: 0.000 0.000 0.000
Ni: 0.000 0.000 0.500
H: 0.114 0.227 0.633
H: 0.114 0.886 0.633
H: 0.227 0.114 0.367
H: 0.773 0.886 0.633
H: 0.886 0.114 0.367
H: 0.886 0.773 0.367

Results
* size of the total moment: 0.86 μB per cell
* raw total energy: -3.02 eV/atom
* D(E_F): 0.324 states/eV per atom



No. 6
Entry from Alexandria via LeMat-Bulk: a relaxed CsKNiH4 crystal (PBE).

Cell: 6.968 6.968 9.156 Å, 90.00 90.00 139.35°
Positions (direct):
Cs: 0.000 0.000 0.000
Cs: 0.000 0.000 0.500
K: 0.268 0.732 0.750
K: 0.732 0.268 0.250
Ni: 0.384 0.616 0.250
Ni: 0.616 0.384 0.750
H: 0.348 0.652 0.084
H: 0.348 0.652 0.416
H: 0.407 0.409 0.750
H: 0.409 0.407 0.250
H: 0.591 0.593 0.750
H: 0.593 0.591 0.250
H: 0.652 0.348 0.584
H: 0.652 0.348 0.916

Results
* size of the total moment: 0.00 μB per cell
* raw total energy: -3.02 eV/atom
* D(E_F): 0.153 states/eV per atom



No. 7
Entry from Alexandria via LeMat-Bulk: a relaxed Cs3KNi2H8 crystal (PBE).

Cell: 6.276 6.276 8.502 Å, 90.00 90.00 120.00°
Positions (direct):
Cs: 0.000 0.000 0.000
Cs: 0.333 0.667 0.717
Cs: 0.667 0.333 0.283
K: 0.000 0.000 0.500
Ni: 0.333 0.667 0.257
Ni: 0.667 0.333 0.743
H: 0.189 0.378 0.302
H: 0.189 0.811 0.302
H: 0.333 0.667 0.073
H: 0.378 0.189 0.698
H: 0.622 0.811 0.302
H: 0.667 0.333 0.927
H: 0.811 0.189 0.698
H: 0.811 0.622 0.698

Results
* size of the total moment: 4.01 μB per cell
* raw total energy: -2.97 eV/atom
* D(E_F): 0.482 states/eV per atom



No. 8
Entry from Alexandria via LeMat-Bulk: a relaxed Cs2KNpH6 crystal (PBE).

Cell: 6.856 6.856 6.856 Å, 60.00 60.00 60.00°
Positions (direct):
Cs: 0.250 0.250 0.250
Cs: 0.750 0.750 0.750
K: 0.000 0.000 0.000
Np: 0.500 0.500 0.500
H: 0.269 0.269 0.731
H: 0.269 0.731 0.269
H: 0.269 0.731 0.731
H: 0.731 0.269 0.269
H: 0.731 0.269 0.731
H: 0.731 0.731 0.269

Results
* size of the total moment: 4.00 μB per cell
* raw total energy: -3.60 eV/atom
* D(E_F): 0.727 states/eV per atom



No. 9
Entry from Alexandria via LeMat-Bulk: a relaxed Cs2KH6Pb2 crystal (PBE).

Cell: 8.303 8.303 6.268 Å, 105.21 105.21 45.92°
Positions (direct):
Cs: 0.243 0.243 0.252
Cs: 0.757 0.757 0.748
K: 0.000 0.000 0.500
H: 0.176 0.176 0.740
H: 0.194 0.609 0.677
H: 0.391 0.806 0.323
H: 0.609 0.194 0.677
H: 0.806 0.391 0.323
H: 0.824 0.824 0.260
Pb: 0.492 0.492 0.749
Pb: 0.508 0.508 0.251

Results
* size of the total moment: 0.25 μB per cell
* raw total energy: -2.73 eV/atom
* D(E_F): 0.358 states/eV per atom



No. 10
Entry from Alexandria via LeMat-Bulk: a relaxed Cs2KHPb crystal (PBE).

Cell: 6.330 6.330 5.325 Å, 90.00 90.00 90.00°
Positions (direct):
Cs: 0.000 0.500 0.000
Cs: 0.500 0.000 0.000
K: 0.000 0.000 0.500
H: 0.000 0.000 0.000
Pb: 0.500 0.500 0.500

Results
* size of the total moment: 1.12 μB per cell
* raw total energy: -2.00 eV/atom
* D(E_F): 0.831 states/eV per atom



No. 11
Entry from Alexandria via LeMat-Bulk: a relaxed Cs2KHPb crystal (PBE).

Cell: 6.414 6.414 5.179 Å, 90.00 90.00 90.00°
Positions (direct):
Cs: 0.000 0.500 0.000
Cs: 0.500 0.000 0.000
K: 0.000 0.000 0.500
H: 0.500 0.500 0.000
Pb: 0.500 0.500 0.500

Results
* size of the total moment: 0.00 μB per cell
* raw total energy: -1.91 eV/atom
* D(E_F): 0.461 states/eV per atom



No. 12
Entry from Alexandria via LeMat-Bulk: a relaxed CsK2HPb crystal (PBE).

Cell: 7.056 7.056 4.881 Å, 90.00 90.00 90.00°
Positions (direct):
Cs: 0.000 0.000 0.000
K: 0.000 0.500 0.500
K: 0.500 0.000 0.500
H: 0.500 0.500 0.000
Pb: 0.500 0.500 0.500

Results
* size of the total moment: 0.00 μB per cell
* raw total energy: -1.80 eV/atom
* D(E_F): 0.564 states/eV per atom



> Among the records above, which one has the highest raw total energy?

number 3



> Which value of size of the total moment does entry 1 give?

0.00 μB per cell



> Which formula does entry 11 have?

Cs2KHPb